No. 1
Density functional theory data (GGA-PBE) for a relaxed structure of HoThOs4.

Computed properties:
As for the density of states at the Fermi level: 19.2 states/eV/cell. The calculation puts the total moment at 0.000 μB/f.u. The energy of formation is -6.03 kcal/mol of atoms.

Cell: 7.653 7.653 7.653 Å, 90.00 90.00 90.00°
Space group F-43m (No. 216)
Symmetry-distinct sites (fractional):
Ho1 0.000 0.000 0.000 (multiplicity 4)
Th1 0.250 0.250 0.250 (multiplicity 4)
Os1 0.125 0.125 0.625 (multiplicity 16)

---

No. 2
Density functional theory data (GGA-PBE) for a relaxed structure of Ho2ThOs2.

Computed properties:
As for the density of states at the Fermi level: 6.7 states/eV/cell. The calculation puts the total moment at 0.000 μB/f.u. The energy of formation is -4.16 kcal/mol of atoms.

Cell: 5.595 4.388 10.378 Å, 90.00 93.37 90.00°
Space group P2_1/m (No. 11)
Symmetry-distinct sites (fractional):
Ho1 0.104 0.250 0.377 (multiplicity 2)
Ho2 0.244 0.250 0.032 (multiplicity 2)
Th1 0.385 0.250 0.704 (multiplicity 2)
Os1 0.251 0.750 0.852 (multiplicity 2)
Os2 0.349 0.750 0.517 (multiplicity 2)

---

No. 3
Density functional theory data (GGA-PBE) for a relaxed structure of HoTiZnOs.

Computed properties:
As for the density of states at the Fermi level: 10.7 states/eV/cell. The calculation puts the total moment at 0.002 μB/f.u. The energy of formation is -4.92 kcal/mol of atoms.

Cell: 6.587 6.587 6.587 Å, 90.00 90.00 90.00°
Space group F-43m (No. 216)
Symmetry-distinct sites (fractional):
Ho1 0.000 0.000 0.000 (multiplicity 4)
Ti1 0.000 0.000 0.500 (multiplicity 4)
Zn1 0.250 0.250 0.250 (multiplicity 4)
Os1 0.250 0.250 0.750 (multiplicity 4)

---

No. 4
Density functional theory data (GGA-PBE) for a relaxed structure of Ho6TlOs2.

Computed properties:
As for the density of states at the Fermi level: 33.8 states/eV/cell. The calculation puts the total moment at 0.000 μB/f.u. The energy of formation is -6.70 kcal/mol of atoms.

Cell: 9.398 9.557 10.403 Å, 90.00 90.00 90.00°
Space group Immm (No. 71)
Symmetry-distinct sites (fractional):
Ho1 0.000 0.210 0.242 (multiplicity 8)
Ho2 0.188 0.500 0.169 (multiplicity 8)
Ho3 0.218 0.315 0.500 (multiplicity 8)
Tl1 0.000 0.000 0.000 (multiplicity 2)
Tl2 0.000 0.000 0.500 (multiplicity 2)
Os1 0.000 0.335 0.000 (multiplicity 4)
Os2 0.000 0.500 0.379 (multiplicity 4)

---

No. 5
Density functional theory data (GGA-PBE) for a relaxed structure of Ho8TlOs2.

Computed properties:
As for the density of states at the Fermi level: 18.0 states/eV/cell. The calculation puts the total moment at 0.000 μB/f.u. The energy of formation is -4.46 kcal/mol of atoms.

Cell: 17.361 5.205 6.946 Å, 90.00 113.50 90.00°
Space group Cm (No. 8)
Symmetry-distinct sites (fractional):
Ho1 0.000 0.000 0.000 (multiplicity 2)
Ho2 0.001 0.500 0.276 (multiplicity 2)
Ho3 0.111 0.500 0.844 (multiplicity 2)
Ho4 0.170 0.000 0.537 (multiplicity 2)
Ho5 0.211 0.000 0.122 (multiplicity 2)
Ho6 0.289 0.500 0.701 (multiplicity 2)
Ho7 0.331 0.500 0.198 (multiplicity 2)
Ho8 0.390 0.000 0.622 (multiplicity 2)
Tl1 0.001 0.000 0.570 (multiplicity 2)
Os1 0.171 0.500 0.274 (multiplicity 2)
Os2 0.330 0.000 0.933 (multiplicity 2)

---

No. 6
Density functional theory data (GGA-PBE) for a relaxed structure of Ho3TlOs.

Computed properties:
As for the density of states at the Fermi level: 23.3 states/eV/cell. The calculation puts the total moment at 0.000 μB/f.u. The value obtained for the distance to the lowest polymorph of the same formula is 0 meV per atom. The energy of formation is -7.20 kcal/mol of atoms.

Cell: 6.531 9.630 16.386 Å, 90.00 90.00 90.00°
Space group Fmmm (No. 69)
Symmetry-distinct sites (fractional):
Ho1 0.000 0.000 0.201 (multiplicity 8)
Ho2 0.000 0.189 0.386 (multiplicity 16)
Tl1 0.217 0.000 0.000 (multiplicity 8)
Os1 0.250 0.250 0.250 (multiplicity 8)

---

No. 7
Density functional theory data (GGA-PBE) for a relaxed structure of Ho3TlOs.

Computed properties:
As for the density of states at the Fermi level: 14.1 states/eV/cell. The calculation puts the total moment at 0.000 μB/f.u. The value obtained for the distance to the lowest polymorph of the same formula is 93 meV per atom. The energy of formation is -5.05 kcal/mol of atoms.

Cell: 13.216 5.214 8.511 Å, 90.00 115.13 90.00°
Space group C2/m (No. 12)
Symmetry-distinct sites (fractional):
Ho1 0.068 0.000 0.227 (multiplicity 4)
Ho2 0.093 0.500 0.864 (multiplicity 4)
Ho3 0.227 0.000 0.737 (multiplicity 4)
Tl1 0.130 0.500 0.498 (multiplicity 4)
Os1 0.176 0.000 0.021 (multiplicity 4)

---

No. 8
Density functional theory data (GGA-PBE) for a relaxed structure of Ho4Tl3Os.

Computed properties:
As for the density of states at the Fermi level: 4.8 states/eV/cell. The calculation puts the total moment at 0.283 μB/f.u. The energy of formation is -7.46 kcal/mol of atoms.

Cell: 3.534 3.534 16.030 Å, 90.00 90.00 90.00°
Space group P4/mmm (No. 123)
Symmetry-distinct sites (fractional):
Ho1 0.000 0.000 0.101 (multiplicity 2)
Ho2 0.000 0.000 0.367 (multiplicity 2)
Tl1 0.500 0.500 0.239 (multiplicity 2)
Tl2 0.500 0.500 0.500 (multiplicity 1)
Os1 0.500 0.500 0.000 (multiplicity 1)

---

No. 9
Density functional theory data (GGA-PBE) for a relaxed structure of Ho6Tl2Os.

Computed properties:
As for the density of states at the Fermi level: 20.1 states/eV/cell. The calculation puts the total moment at 0.000 μB/f.u. The value obtained for the distance to the lowest polymorph of the same formula is 0 meV per atom. The energy of formation is -6.77 kcal/mol of atoms.

Cell: 3.937 14.729 8.509 Å, 90.00 90.00 90.00°
Space group Amm2 (No. 38)
Symmetry-distinct sites (fractional):
Ho1 0.000 0.000 0.000 (multiplicity 2)
Ho2 0.000 0.121 0.637 (multiplicity 4)
Ho3 0.500 0.000 0.373 (multiplicity 2)
Ho4 0.500 0.192 0.950 (multiplicity 4)
Tl1 0.000 0.167 0.258 (multiplicity 4)
Os1 0.500 0.000 0.759 (multiplicity 2)

---

No. 10
Density functional theory data (GGA-PBE) for a relaxed structure of Ho6Tl2Os.

Computed properties:
As for the density of states at the Fermi level: 16.5 states/eV/cell. The calculation puts the total moment at 0.000 μB/f.u. The value obtained for the distance to the lowest polymorph of the same formula is 160 meV per atom. The energy of formation is -3.07 kcal/mol of atoms.

Cell: 5.062 7.243 14.823 Å, 90.00 90.00 90.00°
Space group Immm (No. 71)
Symmetry-distinct sites (fractional):
Ho1 0.000 0.222 0.000 (multiplicity 4)
Ho2 0.000 0.262 0.346 (multiplicity 8)
Tl1 0.000 0.500 0.166 (multiplicity 4)
Os1 0.000 0.500 0.500 (multiplicity 2)

---

No. 11
Density functional theory data (GGA-PBE) for a relaxed structure of Ho6TlOs.

Computed properties:
As for the density of states at the Fermi level: 10.2 states/eV/cell. The calculation puts the total moment at 0.000 μB/f.u. The energy of formation is 0.64 kcal/mol of atoms.

Cell: 6.868 6.888 7.478 Å, 62.78 62.97 60.13°
Space group P-1 (No. 2)
Symmetry-distinct sites (fractional):
Ho1 0.037 0.418 0.257 (multiplicity 2)
Ho2 0.213 0.964 0.744 (multiplicity 2)
Ho3 0.417 0.788 0.257 (multiplicity 2)
Tl1 0.500 0.500 0.000 (multiplicity 1)
Os1 0.000 0.000 0.500 (multiplicity 1)

---

No. 12
Density functional theory data (GGA-PBE) for a relaxed structure of Ho7Tl2Os2.

Computed properties:
As for the density of states at the Fermi level: 17.6 states/eV/cell. The calculation puts the total moment at 0.000 μB/f.u. The energy of formation is -4.17 kcal/mol of atoms.

Cell: 8.211 10.816 7.102 Å, 90.00 90.00 90.00°
Space group Cmmm (No. 65)
Symmetry-distinct sites (fractional):
Ho1 0.000 0.000 0.000 (multiplicity 2)
Ho2 0.000 0.500 0.238 (multiplicity 4)
Ho3 0.250 0.250 0.246 (multiplicity 8)
Tl1 0.182 0.000 0.500 (multiplicity 4)
Os1 0.000 0.290 0.000 (multiplicity 4)

---

No. 13
Density functional theory data (GGA-PBE) for a relaxed structure of HoTmTlOs.

Computed properties:
As for the density of states at the Fermi level: 12.2 states/eV/cell. The calculation puts the total moment at 0.000 μB/f.u. The energy of formation is -3.98 kcal/mol of atoms.

Cell: 7.100 7.100 7.100 Å, 90.00 90.00 90.00°
Space group F-43m (No. 216)
Symmetry-distinct sites (fractional):
Ho1 0.000 0.000 0.000 (multiplicity 4)
Tm1 0.000 0.000 0.500 (multiplicity 4)
Tl1 0.250 0.250 0.250 (multiplicity 4)
Os1 0.250 0.250 0.750 (multiplicity 4)